# Cu2NiSe, relaxed, DFT GGA-PBE
# Formation energy from raw total energies (eV per atom): 0.187
# DOS at the Fermi energy (states/eV/cell): 2.642
# Size of the total moment (μB per formula unit): 0.000
data_Cu2NiSe
_symmetry_space_group_name_H-M 'C 1 2/m 1'
_symmetry_Int_Tables_number 12
_cell_length_a 5.050
_cell_length_b 9.066
_cell_length_c 2.906
_cell_angle_alpha 90.00
_cell_angle_beta 124.74
_cell_angle_gamma 90.00
loop_
_symmetry_equiv_pos_as_xyz
'x,y,z'
'-x,-y,-z'
'-x,y,-z'
'x,-y,z'
'x+1/2,y+1/2,z'
'-x+1/2,-y+1/2,-z'
'-x+1/2,y+1/2,-z'
'x+1/2,-y+1/2,z'
loop_
_atom_site_label
_atom_site_type_symbol
_atom_site_fract_x
_atom_site_fract_y
_atom_site_fract_z
Cu1 Cu 0.250 0.250 0.000
Ni1 Ni 0.000 0.000 0.500
Se1 Se 0.000 0.500 0.500

# Cu2NiSe, relaxed, DFT GGA-PBE
# Formation energy from raw total energies (eV per atom): 0.191
# DOS at the Fermi energy (states/eV/cell): 11.299
# Size of the total moment (μB per formula unit): 0.001
data_Cu2NiSe
_symmetry_space_group_name_H-M 'F -4 3 m'
_symmetry_Int_Tables_number 216
_symmetry_space_group_name_Hall 'F -4 2 3'
_cell_length_a 5.971
_cell_length_b 5.971
_cell_length_c 5.971
_cell_angle_alpha 90.00
_cell_angle_beta 90.00
_cell_angle_gamma 90.00
loop_
_atom_site_label
_atom_site_type_symbol
_atom_site_fract_x
_atom_site_fract_y
_atom_site_fract_z
Cu1 Cu 0.000 0.000 0.000
Cu2 Cu 0.250 0.250 0.250
Ni1 Ni 0.000 0.000 0.500
Se1 Se 0.250 0.250 0.750